(1)
Computed, not measured: a relaxed structure of LiCeInPb at the PBE level of DFT.

**Calculated formation energy**: -32 kJ/mol of atoms
**Excess energy over the best structure of this formula in the dataset**: 0 meV/atom
**DOS(E_F)**: 1.74 states/eV/atom
**E**: -3.90 eV/atom
**Magnetic moment**: 0.96 Bohr magnetons per cell

Cell and atoms, written as POSCAR:
```
LiCeInPb
1.0
4.546 0.000 0.000
0.000 4.732 0.000
0.000 0.000 4.856
Li Pb Ce In
1 1 1 1
direct
0.000 0.500 0.500 Li
0.500 0.500 0.000 Pb
0.000 0.000 0.000 Ce
0.500 0.000 0.500 In
```



(2)
Computed, not measured: a relaxed structure of LiCeInPd at the PBE level of DFT.

**Calculated formation energy**: -49 kJ/mol of atoms
**DOS(E_F)**: 1.41 states/eV/atom
**E**: -4.45 eV/atom
**Magnetic moment**: 0.24 Bohr magnetons per cell

Cell and atoms, written as POSCAR:
```
LiCeInPd
1.0
-3.710 -1.581 2.716
0.743 -3.419 3.377
-0.224 1.154 4.718
In Li Pd Ce
1 1 1 1
direct
0.750 0.750 0.750 In
0.000 0.000 0.000 Li
0.500 0.500 0.500 Pd
0.250 0.250 0.250 Ce
```



(3)
Computed, not measured: a relaxed structure of LiCeIn4Pd2 at the PBE level of DFT.

**Calculated formation energy**: -44 kJ/mol of atoms
**DOS(E_F)**: 1.07 states/eV/atom
**E**: -4.10 eV/atom
**Magnetic moment**: 0.80 Bohr magnetons per cell

Cell and atoms, written as POSCAR:
```
LiCeIn4Pd2
1.0
-1.456 0.617 -4.367
2.984 -0.460 -3.530
-1.525 -8.778 -3.202
In Li Pd Ce
4 1 2 1
direct
0.604 0.604 0.189 In
0.129 0.129 0.614 In
0.871 0.871 0.386 In
0.396 0.396 0.811 In
0.500 0.500 0.500 Li
0.235 0.235 0.295 Pd
0.765 0.765 0.705 Pd
0.000 0.000 0.000 Ce
```



(4)
Computed, not measured: a relaxed structure of LiCeIn2Pd4 at the PBE level of DFT.

**Calculated formation energy**: -59 kJ/mol of atoms
**DOS(E_F)**: 1.04 states/eV/atom
**E**: -4.88 eV/atom
**Magnetic moment**: 0.56 Bohr magnetons per cell

Cell and atoms, written as POSCAR:
```
LiCeIn2Pd4
1.0
4.667 0.000 0.000
2.334 4.042 0.000
2.334 1.347 7.878
Pd Ce Li In
4 1 1 2
direct
0.876 0.876 0.373 Pd
0.390 0.390 0.829 Pd
0.124 0.124 0.627 Pd
0.610 0.610 0.171 Pd
0.000 0.000 0.000 Ce
0.500 0.500 0.500 Li
0.242 0.242 0.273 In
0.758 0.758 0.727 In
```